[1]
Density functional theory data (PBE-GGA) for crystalline ScTl2Os at its relaxed geometry.

D(E_F) in states/eV per cell: 4.42
Magnetic moment in μB/atom: 0.0000
Total energy in eV/atom: -5.29

The structure in CIF format:
```
data_ScTl2Os
_chemical_formula_sum 'Sc2 Tl4 Os2'
_symmetry_space_group_name_H-M 'I m m 2'
_symmetry_Int_Tables_number 44
_symmetry_space_group_name_Hall 'I 2 -2'
_cell_length_a 3.199
_cell_length_b 4.670
_cell_length_c 12.199
_cell_angle_alpha 90.00
_cell_angle_beta 90.00
_cell_angle_gamma 90.00
loop_
_atom_site_label
_atom_site_type_symbol
_atom_site_fract_x
_atom_site_fract_y
_atom_site_fract_z
_atom_site_occupancy
Sc1 Sc 0.000 0.000 0.000 1
Tl1 Tl 0.000 0.000 0.615 1
Tl2 Tl 0.000 0.500 0.816 1
Os1 Os 0.000 0.500 0.330 1
```

[2]
Density functional theory data (PBE-GGA) for crystalline CeNpIr2 at its relaxed geometry.

D(E_F) in states/eV per cell: 34.63
Magnetic moment in μB/atom: 1.0400
Total energy in eV/atom: -9.58

The structure in CIF format:
```
data_CeNpIr2
_chemical_formula_sum 'Ce4 Np4 Ir8'
_symmetry_space_group_name_H-M 'F m -3 m'
_symmetry_Int_Tables_number 225
_symmetry_space_group_name_Hall '-F 4 2 3'
_cell_length_a 6.910
_cell_length_b 6.910
_cell_length_c 6.910
_cell_angle_alpha 90.00
_cell_angle_beta 90.00
_cell_angle_gamma 90.00
loop_
_atom_site_label
_atom_site_type_symbol
_atom_site_fract_x
_atom_site_fract_y
_atom_site_fract_z
_atom_site_occupancy
Ce1 Ce 0.000 0.000 0.000 1
Np1 Np 0.000 0.000 0.500 1
Ir1 Ir 0.250 0.250 0.250 1
```